The following is a DFT calculation (PBE with a Hubbard U) of an optimized crystal structure of NaVNO2.

The structure in CIF format:
```
data_NaVNO2
_chemical_formula_sum 'Na1 V1 N1 O2'
_symmetry_space_group_name_H-M 'P 4/m m m'
_symmetry_Int_Tables_number 123
_symmetry_space_group_name_Hall '-P 4 2'
_cell_length_a 3.8169
_cell_length_b 3.8169
_cell_length_c 3.8632
_cell_angle_alpha 90.00
_cell_angle_beta 90.00
_cell_angle_gamma 90.00
loop_
_atom_site_label
_atom_site_type_symbol
_atom_site_fract_x
_atom_site_fract_y
_atom_site_fract_z
Na1 Na 0.0000 0.0000 0.0000
V1 V 0.5000 0.5000 0.5000
N1 N 0.5000 0.5000 0.0000
O1 O 0.0000 0.5000 0.5000
```

Results
total DFT energy (no corrections)	-31.679	eV/f.u.
total magnetization	1.0	μB/cell